DFT (PBE) results for a relaxed Cs2H3Au2 crystal.

Cell: 6.2269 4.3502 6.2827 Å, 90.00 91.49 90.00°
Element x y z (fractional)
Cs1 0.2289 0.0000 0.2718
Cs2 0.7711 0.0000 0.7282
H1 0.0919 0.5000 0.5917
H2 0.5000 0.5000 0.0000
H3 0.9081 0.5000 0.4083
Au1 0.2879 0.5000 0.7893
Au2 0.7121 0.5000 0.2107

Total energy in eV per atom: -2.78

***

DFT (PBE) results for a relaxed Cs3H4Au crystal.

Cell: 5.5857 9.0138 12.2406 Å, 90.00 90.00 90.00°
Element x y z (fractional)
Cs1 0.2500 0.0061 0.1808
Cs2 0.2500 0.2500 0.5592
Cs3 0.2500 0.4939 0.1808
Cs4 0.7500 0.5061 0.8192
Cs5 0.7500 0.7500 0.4408
Cs6 0.7500 0.9939 0.8192
H1 0.2500 0.2500 0.3337
H2 0.2500 0.5657 0.9251
H3 0.2500 0.7500 0.3379
H4 0.2500 0.9343 0.9251
H5 0.7500 0.0657 0.0749
H6 0.7500 0.2500 0.6621
H7 0.7500 0.4343 0.0749
H8 0.7500 0.7500 0.6663
Au1 0.2500 0.7500 0.9249
Au2 0.7500 0.2500 0.0751

Total energy in eV per atom: -2.57

***

Which of these has the highest total energy? Cs3H4Au

***

Which of these has the lowest total energy? Cs2H3Au2

***

The highest total energy belongs to which entry? Cs3H4Au

***

What is the total energy in the first record? -2.78 eV per atom